Material: Zn2Ni2RuO6
Method: DFT, GGA+U
State: optimized geometry

The density is 6.29 g cm⁻³. As for the electronic total energy: -5.26 eV/atom. As for the density of states at the Fermi level: 0.492 states/eV per atom. As for the total moment: 12.0 Bohr magnetons per cell.

The space group is C2/m (No. 12) and the conventional cell measures 5.301, 8.890 and 5.318 Å, with angles of 90.00, 110.24 and 90.00 degrees. Symmetry generates all atoms from Zn at (0.000, 0.173, 0.000), Ni at (0.000, 0.340, 0.500), Ru at (0.000, 0.000, 0.500), O at (0.223, 0.170, 0.732) and O at (0.233, 0.000, 0.267).